Record 1
DFT (PBE-GGA) results for NdCdPb after structural relaxation.

The space group is C2/m (No. 12) and the conventional cell measures 6.506, 6.506 and 8.060 Å, with angles of 90.00, 90.01 and 90.00 degrees. The asymmetric unit holds Nd at (0.249, 0.000, 0.333), Cd at (0.000, 0.249, 0.000) and Pb at (0.249, 0.500, 0.268).

For the magnetic moment, the calculation gives 0.00 μB/atom. The calculation puts the electronic total energy at -3.50 eV per atom. For the energy of formation, the calculation gives -0.368 eV per atom. The value obtained for the density of states at the Fermi level is 0.689 states/eV/atom.

***

Record 2
DFT (PBE-GGA) results for CaMn2H2 after structural relaxation.

The space group is I4/mmm (No. 139) and the conventional cell measures 3.369, 3.369 and 10.185 Å, with angles of 90.00, 90.00 and 90.00 degrees. The asymmetric unit holds Ca at (0.000, 0.000, 0.000), Mn at (0.000, 0.500, 0.250) and H at (0.000, 0.000, 0.334).

For the magnetic moment, the calculation gives 0.46 μB/atom. The calculation puts the electronic total energy at -5.19 eV per atom. Its distance to the lowest polymorph of the same formula is 0.000 eV/atom. The value obtained for the density of states at the Fermi level is 0.919 states/eV/atom.

***

Record 3
DFT (PBE-GGA) results for TbSnPdAu after structural relaxation.

The space group is F-43m (No. 216) and the conventional cell measures 6.920, 6.920 and 6.920 Å, with angles of 90.00, 90.00 and 90.00 degrees. The asymmetric unit holds Tb at (0.000, 0.000, 0.000), Sn at (0.000, 0.000, 0.500), Pd at (0.250, 0.250, 0.250) and Au at (0.250, 0.250, 0.750).

For the magnetic moment, the calculation gives 0.00 μB/atom. The calculation puts the electronic total energy at -5.04 eV per atom. For the energy of formation, the calculation gives -0.761 eV per atom. The value obtained for the density of states at the Fermi level is 0.659 states/eV/atom.

***

Record 4
DFT (PBE-GGA) results for ReI2Br8 after structural relaxation.

The space group is C2/m (No. 12) and the conventional cell measures 17.557, 7.763 and 7.280 Å, with angles of 90.00, 113.50 and 90.00 degrees. The asymmetric unit holds Re at (0.000, 0.000, 0.000), I at (0.245, 0.500, 0.539), Br at (0.082, 0.000, 0.376), Br at (0.087, 0.500, 0.445) and Br at (0.092, 0.224, 0.963).

For the magnetic moment, the calculation gives 0.12 μB/atom. The calculation puts the electronic total energy at -2.76 eV per atom. The value obtained for the formation energy (no corrections) is -12.6 kJ/mol of atoms. The value obtained for the density of states at the Fermi level is 0.661 states/eV/atom.

***

Record 5
DFT (PBE-GGA) results for Ba2H6Ru after structural relaxation.

The space group is Fm-3m (No. 225) and the conventional cell measures 8.036, 8.036 and 8.036 Å, with angles of 90.00, 90.00 and 90.00 degrees. The asymmetric unit holds Ba at (0.250, 0.250, 0.250), H at (0.000, 0.000, 0.216) and Ru at (0.000, 0.000, 0.000).

For the magnetic moment, the calculation gives 0.00 μB/atom. The calculation puts the electronic total energy at -4.25 eV per atom. The value obtained for the density of states at the Fermi level is 0.000 states/eV/atom.

***

Record 6
DFT (PBE-GGA) results for Mn2CrRh3 after structural relaxation.

The space group is Cmmm (No. 65) and the conventional cell measures 4.296, 12.887 and 6.073 Å, with angles of 90.00, 90.00 and 90.00 degrees. The asymmetric unit holds Mn at (0.000, 0.000, 0.000), Mn at (0.000, 0.000, 0.500), Mn at (0.000, 0.333, 0.000), Cr at (0.000, 0.333, 0.500), Rh at (0.000, 0.167, 0.254) and Rh at (0.000, 0.500, 0.254).

For the magnetic moment, the calculation gives 1.88 μB/atom. The calculation puts the electronic total energy at -8.45 eV per atom. For the energy of formation, the calculation gives -0.112 eV per atom. The value obtained for the density of states at the Fermi level is 0.881 states/eV/atom.